{"formula": "V2O3", "functional": "PBE with a Hubbard U", "state": "optimized geometry", "volume_a3_per_atom": 10.8, "crystal_system": "trigonal", "space_group": "No. 167", "total_energy_ev_per_cell": -80.21, "lattice": [[5.135, 0.000, 0.000], [-2.568, 4.447, 0.000], [0.000, 2.965, 4.708]], "species": ["V", "V", "V", "V", "O", "O", "O", "O", "O", "O"], "frac_coords": [[0.149, 0.298, 0.553], [0.351, 0.702, 0.947], [0.851, 0.702, 0.447], [0.649, 0.298, 0.053], [0.250, 0.803, 0.250], [0.053, 0.803, 0.750], [0.553, 0.500, 0.250], [0.750, 0.197, 0.750], [0.947, 0.197, 0.250], [0.447, 0.500, 0.750]]}